# 1
{"formula": "Ho3CrGa12", "functional": "GGA-PBE", "state": "relaxed", "lattice": [[4.229, 0.000, 0.000], [0.000, 4.229, 0.000], [0.000, 0.000, 16.501]], "species": ["Ho", "Ho", "Ho", "Cr", "Ga", "Ga", "Ga", "Ga", "Ga", "Ga", "Ga", "Ga", "Ga", "Ga", "Ga", "Ga"], "frac_coords": [[0.000, 0.000, 0.000], [0.000, 0.000, 0.263], [0.000, 0.000, 0.737], [0.000, 0.000, 0.500], [0.000, 0.500, 0.130], [0.000, 0.500, 0.392], [0.000, 0.500, 0.608], [0.000, 0.500, 0.870], [0.500, 0.000, 0.130], [0.500, 0.000, 0.392], [0.500, 0.000, 0.608], [0.500, 0.000, 0.870], [0.500, 0.500, 0.000], [0.500, 0.500, 0.255], [0.500, 0.500, 0.500], [0.500, 0.500, 0.745]], "e_form_mev_per_atom": -380, "space_group": "P4/mmm"}



# 2
{"formula": "CaCd2GePd2", "functional": "GGA-PBE", "state": "relaxed", "lattice": [[4.776, 0.000, 0.000], [0.000, 4.776, 0.000], [0.000, 0.000, 5.984]], "species": ["Ca", "Cd", "Cd", "Ge", "Pd", "Pd"], "frac_coords": [[0.000, 0.000, 0.000], [0.500, 0.500, 0.234], [0.500, 0.500, 0.766], [0.000, 0.000, 0.500], [0.000, 0.500, 0.500], [0.500, 0.000, 0.500]], "e_form_mev_per_atom": -386, "space_group": "P4/mmm"}



# 3
{"formula": "PrErTeAs", "functional": "GGA-PBE", "state": "relaxed", "lattice": [[2.101, 1.213, 7.498], [-2.101, 1.213, 7.498], [0.000, -2.426, 7.498]], "species": ["Pr", "Er", "Te", "As"], "frac_coords": [[0.000, 0.000, 0.000], [0.189, 0.189, 0.189], [0.432, 0.432, 0.432], [0.591, 0.591, 0.591]], "e_form_raw_ev_per_fu": -5.76, "space_group": "R3m"}



# 4
{"formula": "CsBa2Hg2", "functional": "GGA-PBE", "state": "relaxed", "lattice": [[9.994, 0.000, 0.000], [0.000, 9.994, 0.000], [0.000, 0.000, 4.571]], "species": ["Cs", "Cs", "Ba", "Ba", "Ba", "Ba", "Hg", "Hg", "Hg", "Hg"], "frac_coords": [[0.000, 0.000, 0.000], [0.500, 0.500, 0.000], [0.145, 0.355, 0.500], [0.355, 0.855, 0.500], [0.645, 0.145, 0.500], [0.855, 0.645, 0.500], [0.140, 0.640, 0.000], [0.360, 0.140, 0.000], [0.640, 0.860, 0.000], [0.860, 0.360, 0.000]], "e_form_mev_per_atom": -296, "space_group": "P4/mbm"}



# 5
{"formula": "RbCr2Se4", "functional": "GGA-PBE", "state": "relaxed", "lattice": [[1.883, -6.456, 0.000], [1.883, 6.456, 0.000], [0.000, 0.000, 13.305]], "species": ["Rb", "Rb", "Cr", "Cr", "Cr", "Cr", "Se", "Se", "Se", "Se", "Se", "Se", "Se", "Se"], "frac_coords": [[0.103, 0.897, 0.750], [0.897, 0.103, 0.250], [0.364, 0.636, 0.566], [0.364, 0.636, 0.934], [0.636, 0.364, 0.066], [0.636, 0.364, 0.434], [0.000, 0.000, 0.000], [0.000, 0.000, 0.500], [0.260, 0.740, 0.096], [0.260, 0.740, 0.404], [0.399, 0.601, 0.750], [0.601, 0.399, 0.250], [0.740, 0.260, 0.596], [0.740, 0.260, 0.904]], "e_form_raw_ev_per_fu": -3.65, "space_group": "Cmcm"}



# 6
{"formula": "Sr3TiRu", "functional": "GGA-PBE", "state": "relaxed", "lattice": [[5.680, 0.000, 0.000], [0.000, 5.680, 0.000], [0.000, 0.000, 5.680]], "species": ["Sr", "Sr", "Sr", "Ti", "Ru"], "frac_coords": [[0.000, 0.000, 0.500], [0.000, 0.500, 0.000], [0.500, 0.000, 0.000], [0.500, 0.500, 0.500], [0.000, 0.000, 0.000]], "e_form_mev_per_atom": 863, "space_group": "Pm-3m"}



# 7
{"formula": "Li4AcAg8", "functional": "GGA-PBE", "state": "relaxed", "lattice": [[-4.766, 4.766, 2.681], [4.766, -4.766, 2.681], [4.766, 4.766, -2.681]], "species": ["Li", "Li", "Li", "Li", "Ac", "Ag", "Ag", "Ag", "Ag", "Ag", "Ag", "Ag", "Ag"], "frac_coords": [[0.000, 0.000, 0.500], [0.000, 0.500, 0.000], [0.500, 0.000, 0.000], [0.500, 0.500, 0.500], [0.000, 0.000, 0.000], [0.000, 0.352, 0.352], [0.000, 0.648, 0.648], [0.276, 0.500, 0.776], [0.352, 0.000, 0.352], [0.500, 0.276, 0.776], [0.500, 0.724, 0.224], [0.648, 0.000, 0.648], [0.724, 0.500, 0.224]], "e_form_mev_per_atom": -182, "space_group": "I4/mmm"}



# 8
{"formula": "NdHfGe", "functional": "GGA-PBE", "state": "relaxed", "lattice": [[4.646, 0.000, 0.000], [-2.323, 4.023, 0.000], [0.000, 0.000, 4.053]], "species": ["Nd", "Hf", "Ge"], "frac_coords": [[0.000, 0.000, 0.000], [0.667, 0.333, 0.506], [0.333, 0.667, 0.438]], "e_form_mev_per_atom": -191, "space_group": "P3m1"}



DOS at the Fermi energy, respectively: 7.617; 1.688; 2.576; 7.994; 7.172; 13.452; 5.550; 3.824 states/eV per cell.
Calculated volume, respectively: 18.44; 22.75; 28.67; 45.66; 23.11; 36.65; 18.74; 25.25 A^3/atom.